TaNi2Te2: relaxed, GGA-PBE.

VASP energy: -6.309 eV/atom
raw formation energy: -35.6 kJ/mol of atoms

a b c (Å): 3.5957 6.4548 18.2943
angles (deg): 90.00 90.00 90.00
Closest atoms and distances in Å follow each position.
Atoms (fractional coordinates):
Ta: 0.2500 0.9022 0.7244  8 Ni 2.73-2.75, 3 Te 2.91-2.94
Ta: 0.7500 0.0978 0.2756  8 Ni 2.73-2.75, 3 Te 2.91-2.94
Ta: 0.2500 0.4022 0.7756  8 Ni 2.73-2.75, 3 Te 2.91-2.94
Ta: 0.7500 0.5978 0.2244  8 Ni 2.73-2.75, 3 Te 2.91-2.94
Ni: 0.2500 0.2933 0.1869  2 Ni 2.40-2.53, 3 Te 2.53-2.57
Ni: 0.7500 0.7067 0.8131  2 Ni 2.40-2.53, 3 Te 2.53-2.57
Ni: 0.7500 0.2067 0.6869  2 Ni 2.40-2.53, 3 Te 2.53-2.57
Ni: 0.2500 0.7933 0.3131  2 Ni 2.40-2.53, 3 Te 2.53-2.57
Ni: 0.2500 0.9015 0.1874  2 Ni 2.40-2.53, 3 Te 2.54-2.57
Ni: 0.7500 0.0985 0.8126  2 Ni 2.40-2.53, 3 Te 2.54-2.57
Ni: 0.2500 0.4015 0.3126  2 Ni 2.40-2.53, 3 Te 2.54-2.57
Ni: 0.7500 0.5985 0.6874  2 Ni 2.40-2.53, 3 Te 2.54-2.57
Te: 0.2500 0.5979 0.0995  2 Ni 2.53-2.54
Te: 0.7500 0.4021 0.9005  2 Ni 2.53-2.54
Te: 0.7500 0.9021 0.5995  2 Ni 2.53-2.54
Te: 0.2500 0.0979 0.4005  2 Ni 2.53-2.54
Te: 0.7500 0.5967 0.3853  4 Ni 2.57
Te: 0.2500 0.4033 0.6147  4 Ni 2.57
Te: 0.7500 0.0967 0.1147  4 Ni 2.57
Te: 0.2500 0.9033 0.8853  4 Ni 2.57